A relaxed structure of K4AcNp3O12, computed with PBE.

Summary:
ΔE_f (raw), eV/atom: -2.69
Total energy, eV per atom: -8.03

Cell: 7.609 7.609 7.609 Å, 109.47 109.47 109.47°
Site moments in Bohr magnetons follow the coordinates.
Sites, in units of the cell vectors:
O (0.250, 0.750, 0.500)  -0.07
O (0.275, 0.275, 0.000)  -0.05
O (0.000, 0.275, 0.275)  -0.05
O (0.750, 0.250, 0.500)  -0.07
O (0.000, 0.725, 0.725)  -0.05
O (0.725, 0.000, 0.725)  -0.05
O (0.500, 0.250, 0.750)  -0.07
O (0.250, 0.500, 0.750)  -0.07
O (0.275, 0.000, 0.275)  -0.05
O (0.500, 0.750, 0.250)  -0.07
O (0.725, 0.725, 0.000)  -0.05
O (0.750, 0.500, 0.250)  -0.07
Ac (0.000, 0.000, 0.000)  -0.02
Np (0.500, 0.000, 0.500)  1.57
Np (0.000, 0.500, 0.500)  1.57
Np (0.500, 0.500, 0.000)  1.57
K (0.000, 0.500, 0.000)  0.00
K (0.500, 0.000, 0.000)  0.00
K (0.500, 0.500, 0.500)  0.00
K (0.000, 0.000, 0.500)  0.00